1.
The following is a DFT calculation (SCAN) of a crystal of LaBeRe2 relaxed with PBEsol.

Structure (POSCAR):
```
LaBeRe2
1.0
9.1868 0.0000 0.0000
0.0000 2.9747 0.0000
-1.0254 0.0000 4.7788
La Be Re
2 2 4
Direct
0.0000 0.0000 0.0000
0.5000 0.5000 0.0000
0.0000 0.5000 0.5000
0.5000 0.0000 0.5000
0.2139 0.0000 0.6921
0.2861 0.5000 0.3079
0.7139 0.5000 0.6921
0.7861 0.0000 0.3079
```

Results
ΔE_f   463 meV per atom
Volume   65 Å³/f.u.
E_tot   -375.6 eV/cell
SG   C2/m, No. 12
N(E_F)   0.6653 states/eV per atom

---

2.
The following is a DFT calculation (SCAN) of a crystal of AgMoAs2 relaxed with PBEsol.

Structure (POSCAR):
```
AgMoAs2
1.0
3.5218 0.0000 0.0000
0.0000 3.5218 0.0000
0.0000 0.0000 5.3534
Ag Mo As
1 1 2
Direct
0.0000 0.0000 0.0000
0.5000 0.5000 0.6781
0.0000 0.0000 0.5137
0.5000 0.5000 0.1540
```

Results
Energy above the lowest structure with this stoichiometry   0.00 kJ/mol of atoms
ΔE_f   202 meV per atom
Volume   66 Å³/f.u.
E_tot   -105.8 eV/cell
SG   P4mm, No. 99
N(E_F)   0.6692 states/eV per atom

---

3.
The following is a DFT calculation (SCAN) of a crystal of In2AuSe relaxed with PBEsol.

Structure (POSCAR):
```
In2AuSe
1.0
6.6684 0.0000 0.0000
0.0000 7.5476 0.0000
-0.8329 0.0000 3.5010
In Au Se
4 2 2
Direct
0.2500 0.2500 0.0000
0.2500 0.7500 0.0000
0.7500 0.2500 0.0000
0.7500 0.7500 0.0000
0.0000 0.0000 0.5000
0.5000 0.5000 0.5000
0.0000 0.5000 0.5000
0.5000 0.0000 0.5000
```

Results
Volume   88 Å³/f.u.
E_tot   -312.8 eV/cell
SG   C2/m, No. 12
N(E_F)   0.4325 states/eV per atom

---

4.
The following is a DFT calculation (SCAN) of a crystal of SiGeAu2F relaxed with PBEsol.

Structure (POSCAR):
```
SiGeAu2F
1.0
4.7636 0.0000 0.0000
0.0000 4.7636 0.0000
0.0000 0.0000 4.7655
Si Ge Au F
1 1 2 1
Direct
0.0000 0.0000 0.0000
0.0000 0.0000 0.5000
0.0000 0.5000 0.5000
0.5000 0.0000 0.5000
0.5000 0.5000 0.0000
```

Results
Volume   108 Å³/f.u.
E_tot   -169.1 eV/cell
SG   P4/mmm, No. 123
N(E_F)   0.1627 states/eV per atom